(1)
The following is a PBE calculation of a relaxed structure of Sr2MnTc, from Alexandria via LeMat-Bulk.

Computed properties:
* energy of formation: 0.498 eV per atom
* energy relative to the lowest polymorph listed for this composition: 0 meV/atom

Cell: 3.439 3.436 9.212 Å, 90.00 90.06 90.00°
Element x y z (fractional)
Sr1 0.000 0.000 0.000
Sr2 0.498 0.500 0.403
Mn1 0.500 0.500 0.745
Tc1 0.999 0.000 0.662

=====

(2)
The following is a PBE calculation of a relaxed structure of SrMnTc, from Alexandria via LeMat-Bulk.

Computed properties:
* energy of formation: 1.165 eV per atom
* energy relative to the lowest polymorph listed for this composition: 629 meV/atom

Cell: 4.637 4.637 4.637 Å, 60.00 60.00 60.00°
Element x y z (fractional)
Sr1 0.000 0.000 0.000
Mn1 0.500 0.500 0.500
Tc1 0.250 0.250 0.250

=====

(3)
The following is a PBE calculation of a relaxed structure of Sr2MnTc, from Alexandria via LeMat-Bulk.

Computed properties:
* energy of formation: 0.545 eV per atom
* energy relative to the lowest polymorph listed for this composition: 47 meV/atom

Cell: 6.442 6.442 6.442 Å, 146.59 130.77 60.80°
Element x y z (fractional)
Sr1 0.000 0.000 0.000
Sr2 0.711 0.211 0.500
Mn1 0.295 0.795 0.500
Tc1 0.413 0.413 0.000

=====

(4)
The following is a PBE calculation of a relaxed structure of Sr2MnTc, from Alexandria via LeMat-Bulk.

Computed properties:
* energy of formation: 1.124 eV per atom
* energy relative to the lowest polymorph listed for this composition: 626 meV/atom

Cell: 10.491 10.491 10.491 Å, 18.96 18.96 18.96°
Element x y z (fractional)
Sr1 0.243 0.243 0.243
Sr2 0.757 0.757 0.757
Mn1 0.000 0.000 0.000
Tc1 0.500 0.500 0.500

=====

(5)
The following is a PBE calculation of a relaxed structure of Sr2MnTc, from Alexandria via LeMat-Bulk.

Computed properties:
* energy of formation: 0.966 eV per atom
* energy relative to the lowest polymorph listed for this composition: 468 meV/atom

Cell: 5.544 5.544 3.575 Å, 90.00 90.00 98.28°
Element x y z (fractional)
Sr1 0.000 0.500 0.000
Sr2 0.500 0.000 0.000
Mn1 0.000 0.000 0.500
Tc1 0.500 0.500 0.500

=====

(6)
The following is a PBE calculation of a relaxed structure of SrMnTc, from Alexandria via LeMat-Bulk.

Computed properties:
* energy of formation: 1.938 eV per atom
* energy relative to the lowest polymorph listed for this composition: 1402 meV/atom

Cell: 4.919 4.919 4.919 Å, 60.00 60.00 60.00°
Element x y z (fractional)
Sr1 0.000 0.000 0.000
Mn1 0.250 0.250 0.250
Tc1 0.750 0.750 0.750

=====

(7)
The following is a PBE calculation of a relaxed structure of Sr2MnTc, from Alexandria via LeMat-Bulk.

Computed properties:
* energy of formation: 0.873 eV per atom
* energy relative to the lowest polymorph listed for this composition: 375 meV/atom

Cell: 8.519 8.519 8.519 Å, 93.55 93.55 151.20°
Element x y z (fractional)
Sr1 0.375 0.190 0.315
Sr2 0.810 0.125 0.185
Sr3 0.875 0.060 0.685
Sr4 0.940 0.625 0.815
Mn1 0.000 0.000 0.000
Mn2 0.750 0.250 0.500
Tc1 0.250 0.750 0.500
Tc2 0.500 0.500 0.000

=====

(8)
The following is a PBE calculation of a relaxed structure of SrMn4Tc, from Alexandria via LeMat-Bulk.

Computed properties:
* energy of formation: 0.685 eV per atom

Cell: 4.995 4.995 4.995 Å, 60.00 60.00 60.00°
Element x y z (fractional)
Sr1 0.000 0.000 0.000
Mn1 0.375 0.375 0.375
Mn2 0.375 0.375 0.874
Mn3 0.375 0.874 0.375
Mn4 0.874 0.375 0.375
Tc1 0.750 0.750 0.750

=====

> Which of these has the highest energy of formation?

number 6